1.
Compound: SmAsPd2Pt2
Source: the Alexandria database
Functional: PBE
Structure: relaxed

Values from the calculation:
The calculation puts the volume at 24.6 A^3/atom. The crystal system is tetragonal. The value obtained for the formation energy is 0.279 eV per atom.

a b c (Å): 4.1449 4.1449 17.1834
angles (deg): 90.00 90.00 90.00
With the nearest neighbours (Å) after each atom.
Space group I4/mmm (No. 139)
Inequivalent atoms, fractional coordinates:
Sm: 0.0000 0.0000 0.0000 [2 per cell]  2 Pt 2.70, 4 As 2.93
As: 0.0000 0.0000 0.5000 [2 per cell]  4 Sm 2.93
Pd: 0.0000 0.5000 0.2500 [4 per cell]  4 Pt 2.62
Pt: 0.0000 0.0000 0.1571 [4 per cell]  4 Pd 2.62, 1 Sm 2.70



2.
Compound: Sm2As3PdPt4
Source: the Alexandria database
Functional: PBE
Structure: relaxed

Values from the calculation:
The calculation puts the volume at 19.4 A^3/atom. The crystal system is tetragonal. The value obtained for the formation energy is -0.786 eV per atom.

a b c (Å): 4.2992 4.2992 10.5230
angles (deg): 90.00 90.00 90.00
With the nearest neighbours (Å) after each atom.
Space group P-4m2 (No. 115)
Inequivalent atoms, fractional coordinates:
Sm: 0.0000 0.5000 0.2493 [2 per cell]  8 Pt 3.24-3.39, 6 As 3.29-3.40, 2 Pd 3.40
As: 0.0000 0.5000 0.8697 [2 per cell]  5 Pt 2.38-2.55
As: 0.5000 0.5000 0.5000 [1 per cell]  4 Pt 2.63
Pd: 0.0000 0.0000 0.5000 [1 per cell]  4 Pt 2.63
Pt: 0.0000 0.0000 0.0000 [1 per cell]  4 As 2.55
Pt: 0.0000 0.5000 0.6433 [2 per cell]  3 As 2.38-2.63, 2 Pd 2.63
Pt: 0.5000 0.5000 0.0000 [1 per cell]  4 As 2.55



3.
Compound: Sr2As3PdPt4
Source: the Alexandria database
Functional: PBE
Structure: relaxed

Values from the calculation:
The calculation puts the volume at 20.4 A^3/atom. The crystal system is tetragonal. The value obtained for the formation energy is -0.699 eV per atom.

a b c (Å): 4.4677 4.4677 10.2019
angles (deg): 90.00 90.00 90.00
With the nearest neighbours (Å) after each atom.
Space group P-4m2 (No. 115)
Inequivalent atoms, fractional coordinates:
Sr: 0.0000 0.5000 0.2427 [2 per cell]  2 Pd 3.33, 6 As 3.33-3.43, 8 Pt 3.34-3.45
As: 0.0000 0.0000 0.0000 [1 per cell]  4 Pt 2.63
As: 0.0000 0.5000 0.6256 [2 per cell]  5 Pt 2.42-2.58
Pd: 0.5000 0.5000 0.0000 [1 per cell]  4 Pt 2.63
Pt: 0.0000 0.0000 0.5000 [1 per cell]  4 As 2.58
Pt: 0.0000 0.5000 0.8632 [2 per cell]  3 As 2.42-2.63, 2 Pd 2.63
Pt: 0.5000 0.5000 0.5000 [1 per cell]  4 As 2.58



4.
Compound: Te2As2Pd7Pt
Source: the Alexandria database
Functional: PBE
Structure: relaxed

Values from the calculation:
The calculation puts the volume at 19.4 A^3/atom. The value obtained for the formation energy (no corrections) is -244.6 meV/atom. The crystal system is monoclinic.

a b c (Å): 5.5865 5.5869 15.2125
angles (deg): 90.00 100.56 90.00
With the nearest neighbours (Å) after each atom.
Space group C2/m (No. 12)
Inequivalent atoms, fractional coordinates:
Te: 0.2096 0.0000 0.4169 [4 per cell]  5 Pd 2.73-2.81
As: 0.1189 0.5000 0.2360 [4 per cell]  5 Pd 2.46-2.47
Pd: 0.0000 0.5000 0.0000 [2 per cell]  4 Pt 2.79, 8 Pd 2.85
Pd: 0.1806 0.2501 0.8627 [8 per cell]  2 As 2.46-2.47
Pd: 0.2016 0.5000 0.4003 [4 per cell]  1 As 2.46, 1 Te 2.73
Pt: 0.0000 0.0000 0.0000 [2 per cell]  12 Pd 2.79-2.85



5.
Compound: Th2As4Pd3Pt
Source: the Alexandria database
Functional: PBE
Structure: relaxed

Values from the calculation:
The calculation puts the volume at 19.7 A^3/atom. The crystal system is tetragonal. The value obtained for the formation energy is -0.821 eV per atom.

a b c (Å): 4.4837 4.4837 9.7917
angles (deg): 90.00 90.00 90.00
With the nearest neighbours (Å) after each atom.
Space group P-4m2 (No. 115)
Inequivalent atoms, fractional coordinates:
Th: 0.0000 0.5000 0.2474 [2 per cell]  7 Pd 3.30-3.67, 2 Pt 3.30, 9 As 3.34-3.69
As: 0.0000 0.0000 0.5000 [1 per cell]  4 Pd 2.54
As: 0.0000 0.5000 0.8701 [2 per cell]  3 Pd 2.43-2.58, 2 Pt 2.58
As: 0.5000 0.5000 0.5000 [1 per cell]  4 Pd 2.54
Pd: 0.0000 0.0000 0.0000 [1 per cell]  4 As 2.58
Pd: 0.0000 0.5000 0.6217 [2 per cell]  5 As 2.43-2.54
Pt: 0.5000 0.5000 0.0000 [1 per cell]  4 As 2.58



6.
Compound: TiAsPdPt2
Source: the Alexandria database
Functional: PBE
Structure: relaxed

Values from the calculation:
The calculation puts the volume at 20.7 A^3/atom. The crystal system is tetragonal. The value obtained for the formation energy is 0.563 eV per atom.

a b c (Å): 4.6537 4.6537 4.7733
angles (deg): 90.00 90.00 90.00
With the nearest neighbours (Å) after each atom.
Space group P4/mmm (No. 123)
Inequivalent atoms, fractional coordinates:
Ti: 0.0000 0.0000 0.0000 [1 per cell]  4 Pt 2.33, 2 As 2.39
As: 0.0000 0.0000 0.5000 [1 per cell]  2 Ti 2.39
Pd: 0.5000 0.5000 0.5000 [1 per cell]  4 As 3.29, 8 Pt 3.33
Pt: 0.0000 0.5000 0.0000 [2 per cell]  2 Ti 2.33



7.
Compound: V2AsPdPt
Source: the Alexandria database
Functional: PBE
Structure: relaxed

Values from the calculation:
The calculation puts the volume at 20.2 A^3/atom. The crystal system is tetragonal. The value obtained for the formation energy is 1.164 eV per atom.

a b c (Å): 4.5235 4.5235 4.9241
angles (deg): 90.00 90.00 90.00
With the nearest neighbours (Å) after each atom.
Space group P4/mmm (No. 123)
Inequivalent atoms, fractional coordinates:
V: 0.0000 0.5000 0.0000 [2 per cell]  2 Pd 2.26
As: 0.0000 0.0000 0.5000 [1 per cell]  4 Pt 3.20, 8 V 3.34
Pd: 0.5000 0.5000 0.0000 [1 per cell]  4 V 2.26, 2 Pt 2.46
Pt: 0.5000 0.5000 0.5000 [1 per cell]  2 Pd 2.46



8.
Compound: YAsPd2Pt
Source: the Alexandria database
Functional: PBE
Structure: relaxed

Values from the calculation:
The calculation puts the volume at 20.9 A^3/atom. The crystal system is tetragonal. The value obtained for the formation energy is -0.476 eV per atom.

a b c (Å): 4.6954 4.6954 4.7307
angles (deg): 90.00 90.00 90.00
With the nearest neighbours (Å) after each atom.
Space group P4/mmm (No. 123)
Inequivalent atoms, fractional coordinates:
Y: 0.0000 0.0000 0.0000 [1 per cell]  4 Pt 3.32, 8 Pd 3.33
As: 0.5000 0.5000 0.5000 [1 per cell]  4 Pd 2.35, 2 Pt 2.37
Pd: 0.0000 0.5000 0.5000 [2 per cell]  2 As 2.35
Pt: 0.5000 0.5000 0.0000 [1 per cell]  2 As 2.37



9.
Compound: YAsPd2Pt
Source: the Alexandria database
Functional: PBE
Structure: relaxed

Values from the calculation:
The calculation puts the volume at 23.1 A^3/atom. The crystal system is tetragonal. The value obtained for the formation energy is -0.037 eV per atom.

a b c (Å): 5.0695 5.0695 4.4996
angles (deg): 90.00 90.00 90.00
With the nearest neighbours (Å) after each atom.
Space group P4/mmm (No. 123)
Inequivalent atoms, fractional coordinates:
Y: 0.0000 0.0000 0.0000 [1 per cell]  8 Pd 3.39, 4 As 3.58
As: 0.5000 0.5000 0.0000 [1 per cell]  2 Pt 2.25
Pd: 0.0000 0.5000 0.5000 [2 per cell]  2 Pt 2.53
Pt: 0.5000 0.5000 0.5000 [1 per cell]  2 As 2.25



10.
Compound: Pu3As4Pd4
Source: the Alexandria database
Functional: PBE
Structure: relaxed

Values from the calculation:
The calculation puts the volume at 19.3 A^3/atom. The crystal system is orthorhombic. The value obtained for the formation energy is -0.783 eV per atom.

a b c (Å): 4.1150 7.5539 13.6700
angles (deg): 90.00 90.00 90.00
With the nearest neighbours (Å) after each atom.
Space group Immm (No. 71)
Inequivalent atoms, fractional coordinates:
Pu: 0.0000 0.0000 0.0000 [2 per cell]  6 As 2.94-3.05
Pu: 0.0000 0.5000 0.1106 [4 per cell]  1 Pu 3.02, 6 As 3.06-3.07, 6 Pd 3.20-3.24
As: 0.0000 0.0000 0.2228 [4 per cell]  6 Pd 2.59-2.65
As: 0.0000 0.2226 0.5000 [4 per cell]  2 Pd 2.56
Pd: 0.0000 0.3049 0.3185 [8 per cell]  4 As 2.56-2.65



11.
Compound: PuAsPd
Source: the Alexandria database
Functional: PBE
Structure: relaxed

Values from the calculation:
The calculation puts the volume at 19.8 A^3/atom. The crystal system is monoclinic. The value obtained for the formation energy is -0.841 eV per atom.

a b c (Å): 7.0476 4.2369 11.9396
angles (deg): 90.00 90.42 90.00
With the nearest neighbours (Å) after each atom.
Space group P2_1/m (No. 11)
Inequivalent atoms, fractional coordinates:
Pu: 0.0164 0.2500 0.2933 [2 per cell]  5 As 2.90-3.01, 5 Pd 3.14-3.24
Pu: 0.3431 0.7500 0.9240 [2 per cell]  5 As 2.96-2.99, 3 Pd 3.14-3.20
Pu: 0.4798 0.7500 0.6216 [2 per cell]  5 As 2.99-3.01, 5 Pd 3.18-3.24
As: 0.2298 0.7500 0.4186 [2 per cell]  4 Pd 2.64-2.77
As: 0.2381 0.2500 0.0894 [2 per cell]  5 Pd 2.65-2.72, 2 Pu 2.90-2.96
As: 0.2772 0.2500 0.7537 [2 per cell]  3 Pd 2.64-2.71
Pd: 0.0041 0.2500 0.9123 [2 per cell]  4 As 2.67-2.72, 3 Pd 2.88-2.98
Pd: 0.1578 0.2500 0.5428 [2 per cell]  4 As 2.64-2.77
Pd: 0.3548 0.7500 0.2042 [2 per cell]  4 As 2.64-2.71, 1 Pd 2.88



12.
Compound: PuAsPd
Source: the Alexandria database
Functional: PBE
Structure: relaxed

Values from the calculation:
The calculation puts the volume at 20.9 A^3/atom. The crystal system is hexagonal. The value obtained for the formation energy is -0.810 eV per atom.

a b c (Å): 4.3405 4.3405 3.8367
angles (deg): 90.00 90.00 120.00
With the nearest neighbours (Å) after each atom.
Space group P-6m2 (No. 187)
Inequivalent atoms, fractional coordinates:
Pu: 0.0000 0.0000 0.0000 [1 per cell]  6 As 3.16, 6 Pd 3.16
As: 0.6667 0.3333 0.5000 [1 per cell]  3 Pd 2.51
Pd: 0.3333 0.6667 0.5000 [1 per cell]  3 As 2.51